HoTcNiP2 | PBE-GGA | optimized geometry

Summary:
Volume = 15.1 A^3/atom
Calculated density = 8.4 g/cm³
E_form = -0.8973 eV/atom

```
data_HoTcNiP2
_chemical_formula_sum 'Ho2 Tc2 Ni2 P4'
_space_group_name_H-M_alt 'I -4 m 2'
_space_group_IT_number 119
_space_group_name_Hall 'I -4 -2'
_cell_length_a 3.895
_cell_length_b 3.895
_cell_length_c 9.945
_cell_angle_alpha 90.00
_cell_angle_beta 90.00
_cell_angle_gamma 90.00
loop_
_atom_site_label
_atom_site_fract_x
_atom_site_fract_y
_atom_site_fract_z
Ho1 0.000 0.000 0.000
Tc1 0.000 0.500 0.250
Ni1 0.000 0.500 0.750
P1 0.000 0.000 0.380
```

***

HoThNi2P2 | PBE-GGA | optimized geometry

Summary:
Volume = 17.6 A^3/atom
Calculated density = 9.1 g/cm³
E_form = -1.2279 eV/atom

```
data_HoThNi2P2
_chemical_formula_sum 'Ho1 Th1 Ni2 P2'
_space_group_name_H-M_alt 'P -3 m 1'
_space_group_IT_number 164
_space_group_name_Hall '-P 3 2"'
_cell_length_a 3.9371
_cell_length_b 3.9371
_cell_length_c 7.8466
_cell_angle_alpha 90.00
_cell_angle_beta 90.00
_cell_angle_gamma 120.00
loop_
_atom_site_label
_atom_site_fract_x
_atom_site_fract_y
_atom_site_fract_z
Ho1 0.0000 0.0000 0.0000
Th1 0.0000 0.0000 0.5000
Ni1 0.3333 0.6667 0.2538
P1 0.3333 0.6667 0.7644
```

***

Ho2ZnNi12P3 | PBE-GGA | optimized geometry

Summary:
Volume = 13.4 A^3/atom
Calculated density = 8.2 g/cm³
E_form = -0.1877 eV/atom

```
data_Ho2ZnNi12P3
_chemical_formula_sum 'Ho6 Zn3 Ni36 P9'
_space_group_name_H-M_alt 'R -3 m'
_space_group_IT_number 166
_space_group_name_Hall '-R 3 2"'
_cell_length_a 8.4135
_cell_length_b 8.4135
_cell_length_c 11.7651
_cell_angle_alpha 90.00
_cell_angle_beta 90.00
_cell_angle_gamma 120.00
loop_
_atom_site_label
_atom_site_fract_x
_atom_site_fract_y
_atom_site_fract_z
Ho1 0.0000 0.0000 0.1541
Zn1 0.0000 0.0000 0.5000
Ni1 0.0075 0.5037 0.1825
Ni2 0.0117 0.5058 0.3848
P1 0.0000 0.5000 0.0000
```

***

Ho2ZnNi4P3 | PBE-GGA | optimized geometry

Summary:
Volume = 14.4 A^3/atom
Calculated density = 8.3 g/cm³
E_form = -0.9076 eV/atom

```
data_Ho2ZnNi4P3
_chemical_formula_sum 'Ho2 Zn1 Ni4 P3'
_space_group_name_H-M_alt 'P -4 m 2'
_space_group_IT_number 115
_cell_length_a 3.873
_cell_length_b 3.873
_cell_length_c 9.619
_cell_angle_alpha 90.00
_cell_angle_beta 90.00
_cell_angle_gamma 90.00
loop_
_space_group_symop_operation_xyz
'x,y,z'
'y,-x,-z'
'-x,-y,z'
'-y,x,-z'
'-x,y,z'
'-y,-x,-z'
'x,-y,z'
'y,x,-z'
loop_
_atom_site_label
_atom_site_fract_x
_atom_site_fract_y
_atom_site_fract_z
Ho1 0.000 0.500 0.243
Zn1 0.000 0.000 0.500
Ni1 0.000 0.000 0.000
Ni2 0.000 0.500 0.639
Ni3 0.500 0.500 0.000
P1 0.000 0.500 0.868
P2 0.500 0.500 0.500
```

***

Ho2PaNi2 | PBE-GGA | optimized geometry

Summary:
Volume = 21.6 A^3/atom
Calculated density = 10.5 g/cm³
E_form = -0.3419 eV/atom

```
data_Ho2PaNi2
_chemical_formula_sum 'Ho8 Pa4 Ni8'
_space_group_name_H-M_alt 'C 1 2/c 1'
_space_group_IT_number 15
_cell_length_a 10.523
_cell_length_b 5.968
_cell_length_c 6.978
_cell_angle_alpha 90.00
_cell_angle_beta 100.41
_cell_angle_gamma 90.00
loop_
_space_group_symop_operation_xyz
'x,y,z'
'-x,-y,-z'
'-x,y,-z+1/2'
'x,-y,z+1/2'
'x+1/2,y+1/2,z'
'-x+1/2,-y+1/2,-z'
'-x+1/2,y+1/2,-z+1/2'
'x+1/2,-y+1/2,z+1/2'
loop_
_atom_site_label
_atom_site_fract_x
_atom_site_fract_y
_atom_site_fract_z
Ho1 0.150 0.109 0.149
Pa1 0.000 0.404 0.750
Ni1 0.150 0.360 0.509
```

***

HoPaNi | PBE-GGA | optimized geometry

Summary:
Energy above the most stable polymorph in this dataset = 285 meV/atom
Volume = 21.3 A^3/atom
Calculated density = 11.8 g/cm³
E_form = 0.1578 eV/atom

```
data_HoPaNi
_chemical_formula_sum 'Ho1 Pa1 Ni1'
_space_group_name_H-M_alt 'P 3 m 1'
_space_group_IT_number 156
_cell_length_a 4.6257
_cell_length_b 4.6257
_cell_length_c 3.4550
_cell_angle_alpha 90.00
_cell_angle_beta 90.00
_cell_angle_gamma 120.00
loop_
_space_group_symop_operation_xyz
'x,y,z'
'-y,x-y,z'
'-x+y,-x,z'
'-y,-x,z'
'-x+y,y,z'
'x,x-y,z'
loop_
_atom_site_label
_atom_site_fract_x
_atom_site_fract_y
_atom_site_fract_z
Ho1 0.0000 0.0000 0.0000
Pa1 0.3333 0.6667 0.4022
Ni1 0.6667 0.3333 0.6245
```

***

HoPaNi | PBE-GGA | optimized geometry

Summary:
Energy above the most stable polymorph in this dataset = 0 meV/atom
Volume = 22.4 A^3/atom
Calculated density = 11.2 g/cm³
E_form = -0.1271 eV/atom

```
data_HoPaNi
_chemical_formula_sum 'Ho2 Pa2 Ni2'
_space_group_name_H-M_alt 'I 4 m m'
_space_group_IT_number 107
_space_group_name_Hall 'I 4 -2'
_cell_length_a 3.468
_cell_length_b 3.468
_cell_length_c 11.185
_cell_angle_alpha 90.00
_cell_angle_beta 90.00
_cell_angle_gamma 90.00
loop_
_atom_site_label
_atom_site_fract_x
_atom_site_fract_y
_atom_site_fract_z
Ho1 0.000 0.000 0.000
Pa1 0.000 0.000 0.290
Ni1 0.000 0.000 0.686
```

***

HoPa2Ni6 | PBE-GGA | optimized geometry

Summary:
Volume = 16.6 A^3/atom
Calculated density = 10.9 g/cm³
E_form = -0.3470 eV/atom

```
data_HoPa2Ni6
_chemical_formula_sum 'Ho1 Pa2 Ni6'
_space_group_name_H-M_alt 'P 6/m m m'
_space_group_IT_number 191
_space_group_name_Hall '-P 6 2'
_cell_length_a 7.1630
_cell_length_b 7.1630
_cell_length_c 3.3669
_cell_angle_alpha 90.00
_cell_angle_beta 90.00
_cell_angle_gamma 120.00
loop_
_atom_site_label
_atom_site_fract_x
_atom_site_fract_y
_atom_site_fract_z
Ho1 0.0000 0.0000 0.0000
Pa1 0.3333 0.6667 0.0000
Ni1 0.0000 0.3365 0.5000
```

***

HoPa2Ni9 | PBE-GGA | optimized geometry

Summary:
Volume = 14.3 A^3/atom
Calculated density = 11.2 g/cm³
E_form = -0.4194 eV/atom

```
data_HoPa2Ni9
_chemical_formula_sum 'Ho3 Pa6 Ni27'
_space_group_name_H-M_alt 'R -3 m'
_space_group_IT_number 166
_space_group_name_Hall '-R 3 2"'
_cell_length_a 4.9078
_cell_length_b 4.9078
_cell_length_c 24.6120
_cell_angle_alpha 90.00
_cell_angle_beta 90.00
_cell_angle_gamma 120.00
loop_
_atom_site_label
_atom_site_fract_x
_atom_site_fract_y
_atom_site_fract_z
Ho1 0.0000 0.0000 0.0000
Pa1 0.0000 0.0000 0.1391
Ni1 0.0000 0.0000 0.3330
Ni2 0.0000 0.0000 0.5000
Ni3 0.0010 0.5005 0.9171
```

***

Ho2PaNi3 | PBE-GGA | optimized geometry

Summary:
Volume = 19.5 A^3/atom
Calculated density = 10.4 g/cm³
E_form = -0.4297 eV/atom

```
data_Ho2PaNi3
_chemical_formula_sum 'Ho4 Pa2 Ni6'
_space_group_name_H-M_alt 'I m m m'
_space_group_IT_number 71
_space_group_name_Hall '-I 2 2'
_cell_length_a 3.629
_cell_length_b 4.281
_cell_length_c 15.096
_cell_angle_alpha 90.00
_cell_angle_beta 90.00
_cell_angle_gamma 90.00
loop_
_atom_site_label
_atom_site_fract_x
_atom_site_fract_y
_atom_site_fract_z
Ho1 0.000 0.000 0.177
Pa1 0.000 0.500 0.000
Ni1 0.000 0.000 0.373
Ni2 0.000 0.500 0.500
```

***

HoPaNi17 | PBE-GGA | optimized geometry

Summary:
Volume = 12.5 A^3/atom
Calculated density = 9.8 g/cm³
E_form = -0.2211 eV/atom

```
data_HoPaNi17
_chemical_formula_sum 'Ho3 Pa3 Ni51'
_space_group_name_H-M_alt 'R 3 m'
_space_group_IT_number 160
_space_group_name_Hall 'R 3 -2"'
_cell_length_a 8.2520
_cell_length_b 8.2520
_cell_length_c 12.0635
_cell_angle_alpha 90.00
_cell_angle_beta 90.00
_cell_angle_gamma 120.00
loop_
_atom_site_label
_atom_site_fract_x
_atom_site_fract_y
_atom_site_fract_z
Ho1 0.0000 0.0000 0.0000
Pa1 0.0000 0.0000 0.3255
Ni1 0.0000 0.0000 0.5594
Ni2 0.0000 0.0000 0.7601
Ni3 0.0371 0.3683 0.3293
Ni4 0.1671 0.3343 0.1493
Ni5 0.1681 0.3362 0.4969
Ni6 0.1691 0.3383 0.8421
```

***

HoPaNi2 | PBE-GGA | optimized geometry

Summary:
Energy above the most stable polymorph in this dataset = 67 meV/atom
Volume = 19.4 A^3/atom
Calculated density = 11.0 g/cm³
E_form = -0.3031 eV/atom

```
data_HoPaNi2
_chemical_formula_sum 'Ho1 Pa1 Ni2'
_space_group_name_H-M_alt 'P 4/m m m'
_space_group_IT_number 123
_space_group_name_Hall '-P 4 2'
_cell_length_a 3.400
_cell_length_b 3.400
_cell_length_c 6.728
_cell_angle_alpha 90.00
_cell_angle_beta 90.00
_cell_angle_gamma 90.00
loop_
_atom_site_label
_atom_site_fract_x
_atom_site_fract_y
_atom_site_fract_z
Ho1 0.000 0.000 0.000
Pa1 0.000 0.000 0.500
Ni1 0.500 0.500 0.290
```